(1)
Compound: KAlSi
Source: Alexandria
Functional: GGA-PBE
Structure: optimized geometry

Calculated values
The value obtained for the total energy is -18.40 eV per cell. Its total magnetization is 0.00 μB per cell. As for the crystal system: orthorhombic. As for the raw formation energy: 0.35 eV per atom.

a = 7.907 Å, b = 7.907 Å, c = 3.665 Å
α = 90.00°, β = 90.00°, γ = 133.60°
Positions (direct):
K: 0.610 0.390 0.250
K: 0.390 0.610 0.750
Si: 0.947 0.053 0.250
Si: 0.053 0.947 0.750
Al: 0.181 0.819 0.250
Al: 0.819 0.181 0.750

(2)
Compound: KAlSi
Source: Alexandria
Functional: GGA-PBE
Structure: optimized geometry

Calculated values
The value obtained for the total energy is -20.07 eV per cell. Its total magnetization is 0.00 μB per cell. As for the crystal system: orthorhombic. As for the raw formation energy: 0.08 eV per atom.

a = 4.240 Å, b = 4.222 Å, c = 8.843 Å
α = 90.00°, β = 90.00°, γ = 90.00°
Positions (direct):
K: 0.000 0.500 0.960
K: 0.500 0.000 0.647
Si: 0.000 0.000 0.316
Si: 0.000 0.500 0.484
Al: 0.500 0.000 0.128
Al: 0.500 0.500 0.318

(3)
Compound: KAlSi
Source: Alexandria
Functional: GGA-PBE
Structure: optimized geometry

Calculated values
The value obtained for the total energy is -19.62 eV per cell. Its total magnetization is 0.00 μB per cell. As for the crystal system: orthorhombic. As for the raw formation energy: 0.15 eV per atom.

a = 6.106 Å, b = 5.088 Å, c = 6.631 Å
α = 67.44°, β = 62.59°, γ = 90.00°
Positions (direct):
K: 0.142 0.642 0.717
K: 0.910 0.910 0.180
Si: 0.555 0.240 0.519
Si: 0.926 0.240 0.519
Al: 0.529 0.029 0.943
Al: 0.399 0.399 0.201